Entry 1:
A plane-wave DFT calculation with GGA-PBEsol was carried out for a geometry-optimized MgIn2Ag structure.

Values from the calculation:
Space group   Pmmm (47)
DFT formation energy   -0.055 eV per atom
Magnetization   0.000 μB per atom

a b c (Å): 3.084 4.336 6.289
angles (deg): 90.00 90.00 90.00
Sites, in units of the cell vectors:
Mg (0.000, 0.000, 0.000)
In (0.500, 0.500, 0.258)
In (0.500, 0.500, 0.742)
Ag (0.000, 0.000, 0.500)

Entry 2:
A plane-wave DFT calculation with GGA-PBEsol was carried out for a geometry-optimized MoP2RhS structure.

Values from the calculation:
Space group   P4/mmm (123)
Magnetization   0.435 μB per atom
Formation energy without anion corrections   0.9376 eV per atom

a b c (Å): 4.408 4.408 4.657
angles (deg): 90.00 90.00 90.00
Sites, in units of the cell vectors:
Mo (0.000, 0.000, 0.000)
P (0.000, 0.500, 0.500)
P (0.500, 0.000, 0.500)
Rh (0.500, 0.500, 0.500)
S (0.500, 0.500, 0.000)

Entry 3:
A plane-wave DFT calculation with GGA-PBEsol was carried out for a geometry-optimized CaGaH5 structure.

Values from the calculation:
Space group   P2_1 (4)
Electronic total energy   -3.32 eV/atom
Magnetization   0.000 μB per atom

a b c (Å): 6.132 3.980 6.169
angles (deg): 90.00 103.43 90.00
Sites, in units of the cell vectors:
Ca (0.146, 0.000, 0.217)
Ca (0.854, 0.500, 0.783)
Ga (0.325, 0.190, 0.716)
Ga (0.675, 0.690, 0.284)
H (0.133, 0.408, 0.543)
H (0.155, 0.499, 0.068)
H (0.183, 0.964, 0.848)
H (0.419, 0.943, 0.555)
H (0.497, 0.937, 0.146)
H (0.503, 0.437, 0.854)
H (0.581, 0.443, 0.445)
H (0.817, 0.464, 0.152)
H (0.845, 0.999, 0.932)
H (0.867, 0.908, 0.457)

Entry 4:
A plane-wave DFT calculation with GGA-PBEsol was carried out for a geometry-optimized FeCuPCl2 structure.

Values from the calculation:
Space group   P4/mmm (123)
Magnetization   0.213 μB per atom
Formation energy without anion corrections   0.4252 eV per atom

a b c (Å): 4.606 4.606 4.232
angles (deg): 90.00 90.00 90.00
Sites, in units of the cell vectors:
Fe (0.000, 0.000, 0.000)
Cu (0.500, 0.500, 0.500)
P (0.000, 0.000, 0.500)
Cl (0.000, 0.500, 0.000)
Cl (0.500, 0.000, 0.000)

Entry 5:
A plane-wave DFT calculation with GGA-PBEsol was carried out for a geometry-optimized YMnCrAs2 structure.

Values from the calculation:
Space group   P4/mmm (123)
DFT formation energy   0.465 eV per atom
Magnetization   0.846 μB per atom

a b c (Å): 4.565 4.565 4.972
angles (deg): 90.00 90.00 90.00
Sites, in units of the cell vectors:
Y (0.000, 0.000, 0.000)
Mn (0.500, 0.500, 0.000)
Cr (0.000, 0.000, 0.500)
As (0.000, 0.500, 0.500)
As (0.500, 0.000, 0.500)

Entry 6:
A plane-wave DFT calculation with GGA-PBEsol was carried out for a geometry-optimized K2HgCl4 structure.

Values from the calculation:
Space group   Pnma (62)
Magnetization   0.012 μB per atom
Formation energy without anion corrections   -1.3054 eV per atom

a b c (Å): 11.604 9.446 7.963
angles (deg): 90.00 90.00 90.00
Sites, in units of the cell vectors:
K (0.000, 0.000, 0.000)
K (0.000, 0.000, 0.500)
K (0.000, 0.500, 0.000)
K (0.000, 0.500, 0.500)
K (0.500, 0.000, 0.000)
K (0.500, 0.000, 0.500)
K (0.500, 0.500, 0.000)
K (0.500, 0.500, 0.500)
Hg (0.239, 0.250, 0.249)
Hg (0.261, 0.750, 0.749)
Hg (0.739, 0.250, 0.251)
Hg (0.761, 0.750, 0.751)
Cl (0.014, 0.750, 0.750)
Cl (0.016, 0.250, 0.750)
Cl (0.237, 0.004, 0.249)
Cl (0.237, 0.496, 0.249)
Cl (0.263, 0.504, 0.749)
Cl (0.263, 0.996, 0.749)
Cl (0.484, 0.750, 0.250)
Cl (0.486, 0.250, 0.250)
Cl (0.514, 0.750, 0.750)
Cl (0.516, 0.250, 0.750)
Cl (0.737, 0.004, 0.251)
Cl (0.737, 0.496, 0.251)
Cl (0.763, 0.504, 0.751)
Cl (0.763, 0.996, 0.751)
Cl (0.984, 0.750, 0.250)
Cl (0.986, 0.250, 0.250)

Entry 7:
A plane-wave DFT calculation with GGA-PBEsol was carried out for a geometry-optimized HgIN3 structure.

Values from the calculation:
Space group   Pm-3m (221)
Magnetization   0.347 μB per atom
Formation energy without anion corrections   2.5565 eV per atom

a b c (Å): 4.215 4.215 4.215
angles (deg): 90.00 90.00 90.00
Sites, in units of the cell vectors:
Hg (0.000, 0.000, 0.000)
I (0.500, 0.500, 0.500)
N (0.000, 0.000, 0.500)
N (0.000, 0.500, 0.000)
N (0.500, 0.000, 0.000)

Entry 8:
A plane-wave DFT calculation with GGA-PBEsol was carried out for a geometry-optimized Co2HW structure.

Values from the calculation:
Space group   I-42d (122)
Excess energy over the best structure of this formula in the dataset   0.0 meV/atom
Magnetization   0.000 μB per atom

a b c (Å): 4.899 4.899 6.496
angles (deg): 90.00 90.00 90.00
Sites, in units of the cell vectors:
Co (0.091, 0.750, 0.125)
Co (0.250, 0.091, 0.875)
Co (0.250, 0.409, 0.375)
Co (0.409, 0.750, 0.625)
Co (0.591, 0.250, 0.625)
Co (0.750, 0.591, 0.375)
Co (0.750, 0.909, 0.875)
Co (0.909, 0.250, 0.125)
H (0.000, 0.000, 0.000)
H (0.000, 0.500, 0.250)
H (0.500, 0.000, 0.750)
H (0.500, 0.500, 0.500)
W (0.000, 0.000, 0.500)
W (0.000, 0.500, 0.750)
W (0.500, 0.000, 0.250)
W (0.500, 0.500, 0.000)

Entry 9:
A plane-wave DFT calculation with GGA-PBEsol was carried out for a geometry-optimized LiHfNb3 structure.

Values from the calculation:
Space group   Pm-3m (221)
Excess energy over the best structure of this formula in the dataset   693.2 meV/atom
DFT formation energy   1.680 eV per atom
Magnetization   0.005 μB per atom

a b c (Å): 4.903 4.903 4.903
angles (deg): 90.00 90.00 90.00
Sites, in units of the cell vectors:
Li (0.000, 0.000, 0.000)
Hf (0.500, 0.500, 0.500)
Nb (0.000, 0.500, 0.500)
Nb (0.500, 0.000, 0.500)
Nb (0.500, 0.500, 0.000)

Entry 10:
A plane-wave DFT calculation with GGA-PBEsol was carried out for a geometry-optimized Li2TlRh structure.

Values from the calculation:
Space group   P4/mmm (123)
DFT formation energy   -0.191 eV per atom
Magnetization   0.000 μB per atom

a b c (Å): 3.890 3.890 4.055
angles (deg): 90.00 90.00 90.00
Sites, in units of the cell vectors:
Li (0.000, 0.500, 0.000)
Li (0.500, 0.000, 0.000)
Tl (0.000, 0.000, 0.500)
Rh (0.500, 0.500, 0.500)

Entry 11:
A plane-wave DFT calculation with GGA-PBEsol was carried out for a geometry-optimized NiTeAs2 structure.

Values from the calculation:
Space group   P4/mmm (123)
Magnetization   0.000 μB per atom
Formation energy without anion corrections   0.4032 eV per atom

a b c (Å): 3.767 3.767 5.222
angles (deg): 90.00 90.00 90.00
Sites, in units of the cell vectors:
Ni (0.000, 0.000, 0.000)
Te (0.500, 0.500, 0.000)
As (0.000, 0.500, 0.500)
As (0.500, 0.000, 0.500)

Entry 12:
A plane-wave DFT calculation with GGA-PBEsol was carried out for a geometry-optimized MoH12PdN4O4 structure.

Values from the calculation:
Space group   I4_1/amd (141)
Electronic total energy   -5.91 eV/atom
Magnetization   0.003 μB per atom

a b c (Å): 9.357 9.357 9.357
angles (deg): 133.67 133.67 67.60
Sites, in units of the cell vectors:
Mo (0.375, 0.625, 0.750)
Mo (0.625, 0.375, 0.250)
H (0.013, 0.485, 0.199)
H (0.013, 0.814, 0.528)
H (0.186, 0.213, 0.199)
H (0.186, 0.987, 0.972)
H (0.194, 0.250, 0.556)
H (0.194, 0.638, 0.944)
H (0.213, 0.186, 0.699)
H (0.213, 0.515, 0.028)
H (0.250, 0.194, 0.056)
H (0.362, 0.806, 0.556)
H (0.485, 0.013, 0.699)
H (0.485, 0.787, 0.472)
H (0.515, 0.213, 0.528)
H (0.515, 0.987, 0.301)
H (0.638, 0.194, 0.444)
H (0.750, 0.806, 0.944)
H (0.787, 0.485, 0.972)
H (0.787, 0.814, 0.301)
H (0.806, 0.362, 0.056)
H (0.806, 0.750, 0.444)
H (0.814, 0.013, 0.028)
H (0.814, 0.787, 0.801)
H (0.987, 0.186, 0.472)
H (0.987, 0.515, 0.801)
Pd (0.125, 0.875, 0.250)
Pd (0.875, 0.125, 0.750)
N (0.128, 0.154, 0.525)
N (0.128, 0.603, 0.975)
N (0.154, 0.128, 0.025)
N (0.397, 0.872, 0.525)
N (0.603, 0.128, 0.475)
N (0.846, 0.872, 0.975)
N (0.872, 0.397, 0.025)
N (0.872, 0.846, 0.475)
O (0.242, 0.690, 0.552)
O (0.310, 0.363, 0.552)
O (0.310, 0.758, 0.948)
O (0.363, 0.310, 0.052)
O (0.637, 0.690, 0.948)
O (0.690, 0.242, 0.052)
O (0.690, 0.637, 0.448)
O (0.758, 0.310, 0.448)